A geometry-optimized CdPtW2 structure. Source: Alexandria, functional PBE.

As for the crystal system: tetragonal. The calculation puts the spin magnetization at 0.00 μB/f.u. As for the formation enthalpy at 0 K: 27.64 kJ/mol of atoms.

The structure belongs to space group I4/mmm (No. 139); the cell edges are 3.870, 3.870 and 8.872 Å and the angles 90.00°, 90.00° and 90.00°. Symmetry generates all atoms from Cd at (0.000, 0.000, 0.000), Pt at (0.000, 0.000, 0.500) and W at (0.000, 0.500, 0.250).